Entry 1:
HoSc2Pa | PBE-GGA | relaxed

Cell: 5.2892 5.2892 5.2892 Å, 60.00 60.00 60.00°
With the nearest neighbours (Å) after each atom.
Element x y z (fractional)
1 Sc 0.2500 0.2500 0.2500  4 Pa 3.24, 4 Ho 3.24
2 Sc 0.7500 0.7500 0.7500  4 Pa 3.24, 4 Ho 3.24
3 Pa 0.0000 0.0000 0.0000  8 Sc 3.24
4 Ho 0.5000 0.5000 0.5000  8 Sc 3.24

Calculated values
density of states at the Fermi level: 6.56 states/eV/cell
E above lowest polymorph: 144.5 meV per atom
E_form: 0.21 eV per atom



Entry 2:
HoScPa | PBE-GGA | relaxed

Cell: 3.3375 3.3375 8.2034 Å, 90.00 90.00 120.00°
With the nearest neighbours (Å) after each atom.
Element x y z (fractional)
1 Ho 0.3333 0.6667 0.6721  6 Ho 3.34, 3 Pa 3.35, 3 Sc 3.46
2 Pa 0.0000 0.0000 0.0065  3 Sc 3.22, 6 Pa 3.34, 3 Ho 3.35
3 Sc 0.6667 0.3333 0.3214  3 Pa 3.22, 6 Sc 3.34, 3 Ho 3.46

Calculated values
density of states at the Fermi level: 4.04 states/eV/cell
E above lowest polymorph: 0.0 meV per atom
E_form: 0.09 eV per atom